Below is Cs12Te5I3 after structural relaxation, with properties calculated at the PBE-GGA level.

Values from the calculation:
Theoretical density = 3.00 g cm⁻³
Calculated total energy = -2.542 eV per atom
Density of states at the Fermi level = 1.605 states/eV/atom

The structure in CIF format:
```
data_Cs12Te5I3
_chemical_formula_sum 'Cs96 Te40 I24'
_symmetry_space_group_name_H-M 'I a -3 d'
_symmetry_Int_Tables_number 230
_symmetry_space_group_name_Hall '-I 4bd 2c 3'
_cell_length_a 22.630
_cell_length_b 22.630
_cell_length_c 22.630
_cell_angle_alpha 90.00
_cell_angle_beta 90.00
_cell_angle_gamma 90.00
loop_
_atom_site_label
_atom_site_fract_x
_atom_site_fract_y
_atom_site_fract_z
_atom_site_occupancy
Cs1 0.025 0.066 0.649 1
Te1 0.000 0.000 0.000 1
Te2 0.000 0.250 0.375 1
I1 0.000 0.250 0.125 1
```